[1]
Here is an optimized crystal structure of B7C5 from the Alexandria database. Energies are from GGA-PBE.

E_form, meV per atom: 438

a b c (Å): 4.8673 2.6230 6.6384
angles (deg): 90.00 94.56 90.00
Last column: nearest neighbours and their distance in Å.
Space group Pm (No. 6)
One atom of each set of equivalent atoms:
B (0.0000, 0.0000, 0.0000) x1  2 C 1.58, 2 B 1.73-1.76
B (0.0546, 0.5000, 0.6494) x1  4 C 1.60-1.73
B (0.2407, 0.0000, 0.3000) x1  3 C 1.66, 1 B 1.83
B (0.3999, 0.5000, 0.9862) x1  2 C 1.57-1.62, 2 B 1.75
B (0.5491, 0.0000, 0.5986) x1  3 C 1.57-1.61
B (0.6372, 0.0000, 0.9819) x1  4 B 1.75-1.94
B (0.8674, 0.0000, 0.2342) x1  2 C 1.67, 2 B 1.73-1.83
C (0.0947, 0.5000, 0.8917) x1  4 B 1.57-1.60
C (0.2293, 0.0000, 0.5491) x1  4 B 1.57-1.73
C (0.4214, 0.5000, 0.2310) x1  1 C 1.51, 3 B 1.62-1.66
C (0.7103, 0.5000, 0.3312) x1  2 C 1.51, 2 B 1.67
C (0.7299, 0.5000, 0.5600) x1  1 C 1.51, 3 B 1.61-1.64

=====

[2]
Here is an optimized crystal structure of B7C5 from the Alexandria database. Energies are from GGA-PBE.

E_form, meV per atom: 421

a b c (Å): 4.7670 2.5045 7.1453
angles (deg): 90.00 95.32 90.00
Last column: nearest neighbours and their distance in Å.
Space group Pm (No. 6)
One atom of each set of equivalent atoms:
B (0.0000, 0.0000, 0.0000) x1  4 B 1.76-1.84
B (0.0087, 0.0000, 0.7543) x1  1 C 1.49
B (0.2319, 0.5000, 0.6613) x1  2 C 1.61-1.63
B (0.3482, 0.0000, 0.1334) x1  1 C 1.61
B (0.5214, 0.5000, 0.0013) x1  1 C 1.60
B (0.7073, 0.0000, 0.3930) x1  3 C 1.57-1.61
B (0.8561, 0.5000, 0.1411) x1  1 C 1.56
C (0.2174, 0.5000, 0.4326) x1  3 C 1.56-1.57, 1 B 1.63
C (0.3679, 0.0000, 0.3598) x1  2 C 1.56, 2 B 1.61
C (0.5362, 0.5000, 0.7785) x1  2 C 1.49, 2 B 1.60-1.61
C (0.6963, 0.0000, 0.7525) x1  2 C 1.49, 1 B 1.49
C (0.8963, 0.5000, 0.3609) x1  3 B 1.56-1.57, 1 C 1.57

=====

[3]
Here is an optimized crystal structure of B7C from the Alexandria database. Energies are from GGA-PBE.

E_form, meV per atom: 404

a b c (Å): 2.6351 4.1145 5.0427
angles (deg): 90.00 90.00 90.00
Last column: nearest neighbours and their distance in Å.
Space group Pmm2 (No. 25)
One atom of each set of equivalent atoms:
B (0.0000, 0.0000, 0.0000) x1  2 C 1.62
B (0.0000, 0.2431, 0.6809) x2  4 B 1.71-1.89
B (0.0000, 0.5000, 0.9473) x1  4 B 1.71-1.72
B (0.5000, 0.2557, 0.4447) x2  1 C 1.67, 3 B 1.73-1.78
B (0.5000, 0.5000, 0.1664) x1  4 B 1.72-1.73
C (0.5000, 0.0000, 0.1865) x1  4 B 1.62-1.67

=====

[4]
Here is an optimized crystal structure of BC from the Alexandria database. Energies are from GGA-PBE.

E_form, meV per atom: 439

a b c (Å): 9.1055 2.6478 7.7147
angles (deg): 90.00 115.40 90.00
Last column: nearest neighbours and their distance in Å.
Space group Cm (No. 8)
One atom of each set of equivalent atoms:
B (0.0000, 0.0000, 0.0000) x2  3 C 1.64-1.70, 1 B 1.79
B (0.0028, 0.5000, 0.5889) x2  3 C 1.56-1.63
B (0.1536, 0.5000, 0.3416) x2  3 C 1.58
B (0.1864, 0.0000, 0.9755) x2  1 C 1.58
B (0.2262, 0.5000, 0.8463) x2  1 C 1.55
B (0.3927, 0.5000, 0.2894) x2  3 C 1.56-1.62
C (0.0114, 0.5000, 0.1317) x2  3 B 1.58-1.64, 1 C 1.66
C (0.0370, 0.0000, 0.5046) x2  3 B 1.56-1.62, 1 C 1.62
C (0.1977, 0.0000, 0.4647) x2  2 C 1.57-1.62, 2 B 1.58
C (0.3455, 0.0000, 0.1706) x2  3 B 1.56-1.58, 1 C 1.66
C (0.3562, 0.0000, 0.6574) x2  3 C 1.57-1.58, 1 B 1.63
C (0.3576, 0.5000, 0.7688) x2  2 B 1.55-1.70, 2 C 1.58

=====

[5]
Here is an optimized crystal structure of B3C2 from the Alexandria database. Energies are from GGA-PBE.

E_form, meV per atom: 450

a b c (Å): 2.7181 2.6580 9.8714
angles (deg): 90.00 90.00 90.00
Last column: nearest neighbours and their distance in Å.
Space group Amm2 (No. 38)
One atom of each set of equivalent atoms:
B (0.0000, 0.0000, 0.0000) x2  4 C 1.63-1.71
B (0.0000, 0.0000, 0.1911) x2  2 C 1.56
B (0.5000, 0.0000, 0.3302) x2  2 C 1.54
C (0.0000, 0.0000, 0.6083) x2  4 B 1.56-1.71
C (0.5000, 0.0000, 0.9081) x2  4 B 1.54-1.63

=====

[6]
Here is an optimized crystal structure of B3C from the Alexandria database. Energies are from GGA-PBE.

E_form, meV per atom: 550

a b c (Å): 5.6845 8.2829 2.4523
angles (deg): 90.00 90.00 90.00
Last column: nearest neighbours and their distance in Å.
Space group Cmcm (No. 63)
One atom of each set of equivalent atoms:
B (0.0000, 0.0790, 0.2500) x4  4 B 1.77-1.79
B (0.2200, 0.3265, 0.7500) x8  1 C 1.59, 1 B 1.77
C (0.0000, 0.4454, 0.7500) x4  2 C 1.52, 2 B 1.59

=====

[7]
Here is an optimized crystal structure of B7C5 from the Alexandria database. Energies are from GGA-PBE.

E_form, meV per atom: 372

a b c (Å): 13.8742 2.6424 4.7437
angles (deg): 90.00 104.52 90.00
Last column: nearest neighbours and their distance in Å.
Space group Cm (No. 8)
One atom of each set of equivalent atoms:
B (0.0000, 0.0000, 0.0000) x2  2 C 1.61-1.64
B (0.0220, 0.5000, 0.6359) x2  2 C 1.56, 1 B 1.67
B (0.0502, 0.5000, 0.2795) x2  1 C 1.65, 1 B 1.83
B (0.1902, 0.0000, 0.5513) x2  3 C 1.58-1.67
B (0.3376, 0.5000, 0.1435) x2  2 C 1.57-1.62
B (0.3933, 0.0000, 0.7206) x2  2 C 1.52
B (0.4177, 0.0000, 0.3662) x2  4 B 1.67-1.87
C (0.0713, 0.0000, 0.7800) x2  1 C 1.49, 3 B 1.56-1.61
C (0.1733, 0.5000, 0.3646) x2  3 B 1.58-1.65, 1 C 1.61
C (0.1817, 0.0000, 0.8956) x2  3 C 1.49-1.60, 1 B 1.67
C (0.2174, 0.5000, 0.0810) x2  3 C 1.60-1.61, 1 B 1.62
C (0.3793, 0.5000, 0.8640) x2  4 B 1.52-1.64

=====

[8]
Here is an optimized crystal structure of B3C2 from the Alexandria database. Energies are from GGA-PBE.

E_form, meV per atom: 229

a b c (Å): 2.6509 3.5190 8.5007
angles (deg): 90.00 90.00 90.00
Last column: nearest neighbours and their distance in Å.
Space group Amm2 (No. 38)
One atom of each set of equivalent atoms:
B (0.0000, 0.0000, 0.0000) x2  3 C 1.52-1.60
B (0.5000, 0.2425, 0.7428) x4  3 C 1.60-1.68, 1 B 1.71
C (0.0000, 0.0000, 0.8116) x2  5 B 1.60-1.68
C (0.5000, 0.0000, 0.0884) x2  4 B 1.52-1.60

=====

[9]
Here is an optimized crystal structure of B3C from the Alexandria database. Energies are from GGA-PBE.

E_form, meV per atom: 484

a b c (Å): 2.6677 2.6905 12.7125
angles (deg): 90.00 90.00 90.00
Last column: nearest neighbours and their distance in Å.
Space group Pmm2 (No. 25)
One atom of each set of equivalent atoms:
B (0.0000, 0.0000, 0.0000) x1  2 C 1.53
B (0.0000, 0.0000, 0.3192) x1  4 B 1.78-1.91
B (0.0000, 0.0000, 0.6563) x1  4 B 1.85-1.88
B (0.0000, 0.5000, 0.2275) x1  4 B 1.78-1.88
B (0.0000, 0.5000, 0.5532) x1  2 C 1.58
B (0.0000, 0.5000, 0.8824) x1  2 C 1.52
B (0.5000, 0.0000, 0.4263) x1  2 C 1.55
B (0.5000, 0.0000, 0.7577) x1  2 C 1.59
B (0.5000, 0.5000, 0.1238) x1  2 C 1.58
C (0.5000, 0.0000, 0.0584) x1  4 B 1.53-1.58
C (0.5000, 0.5000, 0.4871) x1  4 B 1.55-1.58
C (0.5000, 0.5000, 0.8250) x1  4 B 1.52-1.59

=====

[10]
Here is an optimized crystal structure of B3C from the Alexandria database. Energies are from GGA-PBE.

E_form, meV per atom: 532

a b c (Å): 5.0329 2.5305 6.8299
angles (deg): 90.00 95.99 90.00
Last column: nearest neighbours and their distance in Å.
Space group Pm (No. 6)
One atom of each set of equivalent atoms:
B (0.0000, 0.0000, 0.0000) x1  4 B 1.71-1.79
B (0.0277, 0.0000, 0.7532) x1  4 B 1.71-1.81
B (0.1657, 0.5000, 0.6101) x1  1 C 1.59, 2 B 1.78
B (0.3556, 0.0000, 0.0503) x1  2 C 1.55
B (0.4953, 0.5000, 0.7533) x1  1 C 1.54
B (0.6124, 0.0000, 0.3697) x1  1 C 1.63, 3 B 1.75-1.78
B (0.6917, 0.0000, 0.6294) x1  4 B 1.78-1.86
B (0.7850, 0.5000, 0.0680) x1  1 C 1.53
B (0.8477, 0.5000, 0.3454) x1  1 C 1.59, 2 B 1.75
C (0.1651, 0.5000, 0.3767) x1  2 C 1.53, 2 B 1.59
C (0.2919, 0.0000, 0.3016) x1  2 C 1.53, 1 B 1.63
C (0.4937, 0.5000, 0.9790) x1  4 B 1.53-1.55